1.
Material: Pr2Ho5Sc5
Method: DFT, PBE
State: relaxed

Results
E_form: 0.056 eV/atom

a b c (Å): 4.827 7.732 10.376
angles (deg): 72.79 76.55 71.81
Fractional coordinates of all 12 atoms:
Pr (0.918, 0.412, 0.752)
Pr (0.082, 0.588, 0.248)
Ho (0.835, 0.832, 0.498)
Ho (0.246, 0.754, 0.755)
Ho (0.754, 0.246, 0.245)
Ho (0.165, 0.168, 0.502)
Ho (0.000, 0.000, 0.000)
Sc (0.500, 0.500, 0.500)
Sc (0.333, 0.333, 0.002)
Sc (0.416, 0.920, 0.248)
Sc (0.584, 0.080, 0.752)
Sc (0.667, 0.667, 0.998)

2.
Material: LiPm7Ir4
Method: DFT, PBE
State: relaxed

Results
E_form: -0.391 eV/atom

a b c (Å): 5.243 8.770 7.531
angles (deg): 78.71 69.63 72.61
Fractional coordinates of all 12 atoms:
Li (0.000, 0.000, 0.000)
Pm (0.792, 0.871, 0.545)
Pm (0.208, 0.129, 0.455)
Pm (0.088, 0.645, 0.179)
Pm (0.912, 0.355, 0.821)
Pm (0.338, 0.615, 0.710)
Pm (0.500, 0.000, 0.000)
Pm (0.662, 0.385, 0.290)
Ir (0.566, 0.216, 0.652)
Ir (0.434, 0.784, 0.348)
Ir (0.705, 0.671, 0.920)
Ir (0.295, 0.329, 0.080)

3.
Material: CaTl2Re
Method: DFT, PBE
State: relaxed

Results
E_form: 0.645 eV/atom
offset from the most stable computed form: 0.1149 eV/atom

a b c (Å): 9.689 9.689 9.689
angles (deg): 19.96 19.96 19.96
Fractional coordinates of all 4 atoms:
Re (0.750, 0.750, 0.750)
Tl (0.007, 0.007, 0.007)
Tl (0.493, 0.493, 0.493)
Ca (0.250, 0.250, 0.250)

4.
Material: InSbP
Method: DFT, PBE
State: relaxed

Results
energy relative to the elements, uncorrected: 11 kJ per mole of atoms
offset from the most stable computed form: 0.1111 eV/atom

a b c (Å): 5.233 5.280 6.618
angles (deg): 70.06 73.43 68.38
Fractional coordinates of all 6 atoms:
In (0.915, 0.368, 0.129)
In (0.696, 0.235, 0.794)
Sb (0.121, 0.570, 0.419)
Sb (0.264, 0.800, 0.783)
P (0.545, 0.131, 0.484)
P (0.389, 0.887, 0.099)

5.
Material: Mn2CrAg
Method: DFT, PBE
State: relaxed

Results
E_form: 0.326 eV/atom
offset from the most stable computed form: 0.0818 eV/atom

a b c (Å): 2.852 2.852 6.982
angles (deg): 90.00 90.00 90.00
Fractional coordinates of all 4 atoms:
Ag (0.000, 0.000, 0.504)
Cr (0.500, 0.500, 0.798)
Mn (0.000, 0.000, 0.978)
Mn (0.500, 0.500, 0.220)

6.
Material: LiCa
Method: DFT, PBE
State: relaxed

Results
E_form: 0.223 eV/atom
offset from the most stable computed form: 0.2114 eV/atom

a b c (Å): 4.547 4.547 4.547
angles (deg): 60.00 60.00 60.00
Fractional coordinates of all 2 atoms:
Ca (0.000, 0.000, 0.000)
Li (0.500, 0.500, 0.500)

7.
Material: SrTmMnSe4
Method: DFT, PBE
State: relaxed

Results
energy relative to the elements, uncorrected: -127 kJ per mole of atoms

a b c (Å): 6.846 6.453 8.515
angles (deg): 90.00 107.40 90.00
Fractional coordinates of all 14 atoms:
Sr (0.752, 0.750, 0.942)
Sr (0.248, 0.250, 0.058)
Tm (0.754, 0.750, 0.440)
Tm (0.246, 0.250, 0.560)
Mn (0.241, 0.750, 0.322)
Mn (0.759, 0.250, 0.678)
Se (0.017, 0.510, 0.726)
Se (0.983, 0.010, 0.274)
Se (0.983, 0.490, 0.274)
Se (0.017, 0.990, 0.726)
Se (0.432, 0.750, 0.128)
Se (0.568, 0.250, 0.872)
Se (0.442, 0.750, 0.602)
Se (0.558, 0.250, 0.398)

8.
Material: Tb5HoTh
Method: DFT, PBE
State: relaxed

Results
E_form: 1.020 eV/atom
offset from the most stable computed form: 0.8198 eV/atom

a b c (Å): 6.388 7.666 7.690
angles (deg): 119.89 114.54 90.00
Fractional coordinates of all 7 atoms:
Tb (0.399, 0.250, 0.500)
Tb (0.886, 0.500, 0.000)
Tb (0.900, 0.750, 0.500)
Tb (0.141, 0.815, 0.000)
Tb (0.141, 0.185, 0.000)
Ho (0.640, 0.000, 0.000)
Th (0.424, 0.500, 0.000)

9.
Material: Ca2CdSiTc
Method: DFT, PBE
State: relaxed

Results
energy relative to the elements, uncorrected: 21 kJ per mole of atoms

a b c (Å): 5.555 4.618 5.555
angles (deg): 90.00 90.00 90.00
Fractional coordinates of all 5 atoms:
Ca (0.000, 0.000, 0.500)
Ca (0.500, 0.000, 0.000)
Si (0.000, 0.500, 0.000)
Tc (0.000, 0.000, 0.000)
Cd (0.500, 0.500, 0.500)

10.
Material: Rb3Ce3GaTe8
Method: DFT, PBE
State: relaxed

Results
energy relative to the elements, uncorrected: -104 kJ per mole of atoms

a b c (Å): 9.089 9.082 10.114
angles (deg): 116.67 90.01 120.01
Fractional coordinates of all 15 atoms:
Rb (0.000, 0.000, 0.000)
Rb (0.000, 0.500, 0.000)
Rb (0.500, 0.500, 0.000)
Ce (0.500, 0.000, 0.500)
Ce (0.500, 0.500, 0.500)
Ce (0.000, 0.500, 0.500)
Ga (0.000, 0.000, 0.500)
Te (0.265, 0.531, 0.296)
Te (0.735, 0.469, 0.704)
Te (0.775, 0.550, 0.311)
Te (0.225, 0.450, 0.689)
Te (0.775, 0.036, 0.311)
Te (0.225, 0.964, 0.689)
Te (0.261, 0.036, 0.311)
Te (0.739, 0.964, 0.689)

11.
Material: V3TcW2
Method: DFT, PBE
State: relaxed

Results
E_form: -0.192 eV/atom

a b c (Å): 4.328 6.851 6.142
angles (deg): 90.00 90.00 71.59
Fractional coordinates of all 12 atoms:
V (0.832, 0.335, 0.753)
V (0.500, 0.000, 0.248)
V (0.168, 0.665, 0.247)
V (0.832, 0.335, 0.247)
V (0.168, 0.665, 0.753)
V (0.500, 0.000, 0.752)
Tc (0.333, 0.333, 0.000)
Tc (0.667, 0.667, 0.000)
W (0.000, 0.000, 0.000)
W (0.000, 0.000, 0.500)
W (0.333, 0.334, 0.500)
W (0.667, 0.666, 0.500)

12.
Material: Ca2TaTl
Method: DFT, PBE
State: relaxed

Results
E_form: 0.433 eV/atom
offset from the most stable computed form: 0.0889 eV/atom

a b c (Å): 4.939 3.280 7.194
angles (deg): 63.01 90.00 90.00
Fractional coordinates of all 4 atoms:
Tl (0.500, 0.750, 0.750)
Ca (0.000, 0.993, 0.007)
Ca (0.000, 0.507, 0.493)
Ta (0.500, 0.250, 0.250)

13.
Material: V2AgCl
Method: DFT, PBE
State: relaxed

Results
energy relative to the elements, uncorrected: 70 kJ per mole of atoms
offset from the most stable computed form: 0.0000 eV/atom

a b c (Å): 4.431 4.431 4.431
angles (deg): 60.00 60.00 60.00
Fractional coordinates of all 4 atoms:
V (0.250, 0.250, 0.250)
V (0.750, 0.750, 0.750)
Ag (0.500, 0.500, 0.500)
Cl (0.000, 0.000, 0.000)

14.
Material: CaBiS2Br
Method: DFT, PBE
State: relaxed

Results
energy relative to the elements, uncorrected: -110 kJ per mole of atoms

a b c (Å): 5.482 6.419 8.915
angles (deg): 103.69 90.00 90.00
Fractional coordinates of all 10 atoms:
Ca (0.250, 0.633, 0.878)
Ca (0.750, 0.367, 0.122)
Bi (0.250, 0.704, 0.416)
Bi (0.750, 0.296, 0.584)
S (0.750, 0.606, 0.440)
S (0.250, 0.394, 0.560)
S (0.750, 0.540, 0.859)
S (0.250, 0.460, 0.141)
Br (0.250, 0.025, 0.782)
Br (0.750, 0.975, 0.218)

15.
Material: MoPtW2N
Method: DFT, PBE
State: relaxed

Results
energy relative to the elements, uncorrected: 303 kJ per mole of atoms
offset from the most stable computed form: 3.3035 eV/atom

a b c (Å): 4.772 4.784 4.772
angles (deg): 90.00 90.00 90.00
Fractional coordinates of all 5 atoms:
Mo (0.000, 0.500, 0.000)
W (0.000, 0.000, 0.500)
W (0.500, 0.000, 0.000)
Pt (0.000, 0.000, 0.000)
N (0.500, 0.500, 0.500)

16.
Material: AuBrCl6
Method: DFT, PBE
State: relaxed

Results
energy relative to the elements, uncorrected: -1 kJ per mole of atoms

a b c (Å): 5.154 8.954 9.656
angles (deg): 129.61 62.92 96.98
Fractional coordinates of all 8 atoms:
Au (0.500, 0.000, 0.000)
Br (0.000, 0.000, 0.000)
Cl (0.205, 0.932, 0.445)
Cl (0.350, 0.342, 0.258)
Cl (0.817, 0.465, 0.067)
Cl (0.650, 0.658, 0.742)
Cl (0.795, 0.068, 0.555)
Cl (0.183, 0.535, 0.933)

17.
Material: IrPt3
Method: DFT, PBE
State: relaxed

Results
E_form: 0.248 eV/atom

a b c (Å): 4.459 4.459 4.459
angles (deg): 60.00 60.00 60.00
Fractional coordinates of all 4 atoms:
Ir (0.000, 0.000, 0.000)
Pt (0.250, 0.250, 0.250)
Pt (0.500, 0.500, 0.500)
Pt (0.750, 0.750, 0.750)

18.
Material: K2GaBiSe4
Method: DFT, PBE
State: relaxed

Results
energy relative to the elements, uncorrected: -77 kJ per mole of atoms

a b c (Å): 7.154 6.815 6.815
angles (deg): 74.01 58.34 58.34
Fractional coordinates of all 8 atoms:
K (0.000, 0.500, 0.500)
K (0.500, 0.500, 0.500)
Ga (0.500, 0.000, 0.000)
Bi (0.000, 0.000, 0.000)
Se (0.120, 0.340, 0.000)
Se (0.880, 0.000, 0.660)
Se (0.540, 0.000, 0.340)
Se (0.460, 0.660, 0.000)

19.
Material: MgB3As
Method: DFT, PBE
State: relaxed

Results
E_form: 1.646 eV/atom
offset from the most stable computed form: 0.0000 eV/atom

a b c (Å): 4.161 4.161 4.161
angles (deg): 90.00 90.00 90.00
Fractional coordinates of all 5 atoms:
As (0.000, 0.000, 0.000)
B (0.000, 0.500, 0.000)
B (0.000, 0.000, 0.500)
B (0.500, 0.000, 0.000)
Mg (0.500, 0.500, 0.500)

20.
Material: MnCu2Re
Method: DFT, PBE
State: relaxed

Results
E_form: 0.291 eV/atom
offset from the most stable computed form: 0.1017 eV/atom

a b c (Å): 5.728 4.700 2.581
angles (deg): 89.93 63.35 119.09
Fractional coordinates of all 4 atoms:
Cu (0.000, 0.000, 0.000)
Cu (0.500, 0.000, 0.500)
Mn (0.000, 0.500, 0.500)
Re (0.500, 0.500, 0.000)

21.
Material: NaSbPb
Method: DFT, PBE
State: relaxed

Results
energy relative to the elements, uncorrected: -18 kJ per mole of atoms

a b c (Å): 5.301 5.301 5.301
angles (deg): 60.00 60.00 60.00
Fractional coordinates of all 3 atoms:
Pb (0.000, 0.000, 0.000)
Sb (0.250, 0.250, 0.250)
Na (0.500, 0.500, 0.500)

22.
Material: Ag4HgTeBr2
Method: DFT, PBE
State: relaxed

Results
energy relative to the elements, uncorrected: -9 kJ per mole of atoms

a b c (Å): 8.277 8.277 8.384
angles (deg): 120.44 120.44 88.65
Fractional coordinates of all 16 atoms:
Ag (0.248, 0.752, 0.000)
Ag (0.748, 0.252, 0.500)
Ag (0.252, 0.748, 0.500)
Ag (0.752, 0.248, 0.000)
Ag (0.747, 0.753, 0.985)
Ag (0.747, 0.753, 0.515)
Ag (0.253, 0.247, 0.485)
Ag (0.253, 0.247, 0.015)
Hg (0.000, 0.500, 0.000)
Hg (0.000, 0.500, 0.500)
Te (0.500, 0.500, 0.500)
Te (0.000, 0.000, 0.000)
Br (0.500, 0.000, 0.000)
Br (0.500, 0.000, 0.500)
Br (0.000, 0.000, 0.500)
Br (0.500, 0.500, 0.000)

23.
Material: Cr2PdI
Method: DFT, PBE
State: relaxed

Results
energy relative to the elements, uncorrected: 82 kJ per mole of atoms
offset from the most stable computed form: 0.0861 eV/atom

a b c (Å): 4.406 4.406 4.406
angles (deg): 60.00 60.00 60.00
Fractional coordinates of all 4 atoms:
I (0.500, 0.500, 0.500)
Cr (0.250, 0.250, 0.250)
Cr (0.750, 0.750, 0.750)
Pd (0.000, 0.000, 0.000)

24.
Material: AlRe2F2
Method: DFT, PBE
State: relaxed

Results
energy relative to the elements, uncorrected: 10 kJ per mole of atoms
offset from the most stable computed form: 0.0000 eV/atom

a b c (Å): 7.836 7.836 2.578
angles (deg): 90.00 90.00 90.00
Fractional coordinates of all 10 atoms:
Re (0.107, 0.607, 0.500)
Re (0.607, 0.893, 0.500)
Re (0.893, 0.393, 0.500)
Re (0.393, 0.107, 0.500)
Al (0.000, 0.000, 0.000)
Al (0.500, 0.500, 0.000)
F (0.259, 0.759, 0.000)
F (0.759, 0.741, 0.000)
F (0.741, 0.241, 0.000)
F (0.241, 0.259, 0.000)

25.
Material: Li4PdPb
Method: DFT, PBE
State: relaxed

Results
E_form: -0.194 eV/atom
offset from the most stable computed form: 0.1615 eV/atom

a b c (Å): 5.095 5.095 5.095
angles (deg): 60.00 60.00 60.00
Fractional coordinates of all 6 atoms:
Pb (0.250, 0.250, 0.250)
Pd (0.000, 0.000, 0.000)
Li (0.626, 0.626, 0.121)
Li (0.626, 0.121, 0.626)
Li (0.626, 0.626, 0.626)
Li (0.121, 0.626, 0.626)